No. 1
Entry from the Alexandria database: crystalline NiTe6Ir2 at its relaxed geometry (GGA-PBE).

Cell and atoms, written as POSCAR:
```
NiTe6Ir2
1.0
-1.0366 -5.1413 3.1244
6.0157 -0.8427 0.6093
-0.1657 6.4417 10.5452
Te Ni Ir
12 2 4
direct
0.6907 0.6907 0.1636
0.3093 0.3093 0.1636
0.7988 0.2012 0.0000
0.2012 0.7988 0.0000
0.6907 0.6907 0.8364
0.7012 0.7012 0.5000
0.8093 0.1907 0.6636
0.1907 0.8093 0.3364
0.2988 0.2988 0.5000
0.3093 0.3093 0.8364
0.1907 0.8093 0.6636
0.8093 0.1907 0.3364
0.5000 0.5000 0.0000
0.0000 0.0000 0.5000
0.5000 0.5000 0.6647
0.0000 0.0000 0.1647
0.0000 0.0000 0.8353
0.5000 0.5000 0.3353
```

- Total moment: 0.0000 μB/atom
- SG: P4_2/mnm
- Offset from the most stable computed form: 18.3 kJ/mol of atoms

***

No. 2
Entry from the Alexandria database: crystalline AcPm3Nd8 at its relaxed geometry (GGA-PBE).

Cell and atoms, written as POSCAR:
```
AcPm3Nd8
1.0
-3.6106 8.2007 0.6889
-0.7050 -7.0401 -5.5410
-3.9927 -3.7010 7.1501
Nd Pm Ac
8 3 1
direct
0.1736 0.7465 0.9205
0.0322 0.7642 0.2679
0.1740 0.2535 0.4271
0.5037 0.2358 0.2680
0.8264 0.7469 0.5729
0.4963 0.7643 0.7321
0.9678 0.2357 0.7320
0.8260 0.2531 0.0795
0.5000 0.7681 0.2681
0.5000 0.2319 0.7319
0.0000 0.5000 0.5000
0.0000 0.0000 0.0000
```

- Total moment: 0.0000 μB/atom
- Formation energy: 0.31 eV per atom
- SG: Immm

***

No. 3
Entry from the Alexandria database: crystalline Re3SN at its relaxed geometry (GGA-PBE).

Cell and atoms, written as POSCAR:
```
Re3SN
1.0
4.0857 0.0000 0.0000
0.0000 4.0857 0.0000
0.0000 0.0000 4.0857
Re S N
3 1 1
direct
0.0000 0.5000 0.0000
0.0000 0.0000 0.5000
0.5000 0.0000 0.0000
0.5000 0.5000 0.5000
0.0000 0.0000 0.0000
```

- Total moment: 0.0000 μB/atom
- SG: Pm-3m
- Offset from the most stable computed form: 0.0 kJ/mol of atoms

***

No. 4
Entry from the Alexandria database: crystalline CsBeIr2O at its relaxed geometry (GGA-PBE).

Cell and atoms, written as POSCAR:
```
CsBeIr2O
1.0
-2.7819 -2.2043 -2.0614
3.8041 -1.4079 -3.6282
0.9363 -3.2955 2.2605
O Ir Be Cs
1 2 1 1
direct
0.0000 0.0000 0.0000
0.0000 0.0000 0.5000
0.5000 0.0000 0.0000
0.5000 0.5000 0.5000
0.0000 0.5000 0.0000
```

- Total moment: 0.0005 μB/atom
- SG: P4/mmm
- DFT total energy: -21.85 eV for the cell shown

***

No. 5
Entry from the Alexandria database: crystalline Ac3AlTe6 at its relaxed geometry (GGA-PBE).

Cell and atoms, written as POSCAR:
```
Ac3AlTe6
1.0
-2.8036 -1.0326 -7.1033
8.2526 -5.5924 -2.4443
-6.4372 -7.1485 3.5799
Ac Al Te
6 2 12
direct
0.3911 0.3972 0.6028
0.8911 0.6028 0.3972
0.9830 0.7190 0.9179
0.4830 0.2810 0.0821
0.4830 0.9179 0.7190
0.9830 0.0821 0.2810
0.5290 0.8011 0.1989
0.0290 0.1989 0.8011
0.1878 0.3674 0.3102
0.1868 0.7816 0.2184
0.1601 0.0423 0.9577
0.6878 0.3102 0.3674
0.6884 0.9034 0.4250
0.6868 0.2184 0.7816
0.1884 0.0966 0.5750
0.1878 0.6898 0.6326
0.6601 0.9577 0.0423
0.1884 0.4250 0.9034
0.6878 0.6326 0.6898
0.6884 0.5750 0.0966
```

- Total moment: 0.0000 μB/atom
- SG: Cmc2_1
- DFT total energy: -95.92 eV for the cell shown

***

No. 6
Entry from the Alexandria database: crystalline B2C at its relaxed geometry (GGA-PBE).

Cell and atoms, written as POSCAR:
```
B2C
1.0
1.3752 6.0294 0.0940
-1.3752 6.0294 0.0940
0.0000 1.3434 5.4455
B C
8 4
direct
0.9671 0.9671 0.9244
0.7460 0.7460 0.3773
0.3484 0.3484 0.2965
0.6949 0.6949 0.1350
0.6518 0.6518 0.6806
0.9701 0.9701 0.5379
0.1659 0.1659 0.4133
0.3241 0.3241 0.8145
0.4110 0.4110 0.5134
0.0723 0.0723 0.6811
0.7364 0.7364 0.8615
0.4122 0.4122 0.0145
```

- Total moment: 0.0000 μB/atom
- Formation energy: 0.32 eV per atom
- SG: Cm
- Offset from the most stable computed form: 12.6 kJ/mol of atoms

***

No. 7
Entry from the Alexandria database: crystalline Dy2Er5Th2 at its relaxed geometry (GGA-PBE).

Cell and atoms, written as POSCAR:
```
Dy2Er5Th2
1.0
-0.0291 11.2261 -3.6759
-3.3394 -1.7716 -5.3839
-4.6828 -3.5748 8.0999
Er Th Dy
10 4 4
direct
0.6306 0.7633 0.7150
0.9826 0.1527 0.5000
0.1905 0.1574 0.8930
0.4156 0.5483 0.2850
0.5844 0.2633 0.7150
0.3694 0.0483 0.2850
0.2024 0.6574 0.8930
0.0174 0.6527 0.5000
0.7976 0.7645 0.1070
0.8095 0.2645 0.1070
0.5000 0.5157 0.0000
0.7496 0.8340 0.5000
0.2504 0.3340 0.5000
0.0000 0.0157 0.0000
0.8731 0.4245 0.7491
0.3760 0.9245 0.7491
0.6240 0.1755 0.2509
0.1269 0.6755 0.2509
```

- Total moment: 0.0015 μB/atom
- Formation energy: 0.24 eV per atom
- SG: Ima2
- Offset from the most stable computed form: 0.0 kJ/mol of atoms

***

No. 8
Entry from the Alexandria database: crystalline HfFeCo3 at its relaxed geometry (GGA-PBE).

Cell and atoms, written as POSCAR:
```
HfFeCo3
1.0
4.7220 0.0000 0.0000
0.0000 8.5864 0.0000
-2.3610 -4.2932 3.2700
Co Fe Hf
6 2 2
direct
0.6863 0.6863 0.8725
0.8137 0.3137 0.1275
0.2500 0.9424 0.5000
0.3137 0.3137 0.1275
0.7500 0.0576 0.5000
0.1863 0.6863 0.8725
0.5000 0.0000 0.0000
0.0000 0.5000 0.0000
0.7500 0.7589 0.5000
0.2500 0.2411 0.5000
```

- Total moment: 1.1176 μB/atom
- Formation energy: -0.08 eV per atom
- SG: Imma
- Offset from the most stable computed form: 0.0 kJ/mol of atoms

***

No. 9
Entry from the Alexandria database: crystalline Na2Sb3 at its relaxed geometry (GGA-PBE).

Cell and atoms, written as POSCAR:
```
Na2Sb3
1.0
4.5415 0.0000 0.0000
2.2707 5.9744 -0.2349
2.2707 2.0911 5.6014
Na Sb
2 3
direct
0.7796 0.7204 0.7204
0.2204 0.2796 0.2796
0.5000 0.7066 0.2934
0.0000 0.0000 0.0000
0.5000 0.2934 0.7066
```

- Total moment: 0.0000 μB/atom
- SG: Immm
- Offset from the most stable computed form: 0.0 kJ/mol of atoms

***

No. 10
Entry from the Alexandria database: crystalline K2CdI2F2 at its relaxed geometry (GGA-PBE).

Cell and atoms, written as POSCAR:
```
K2CdI2F2
1.0
4.7621 0.0000 0.0000
0.0000 4.7621 0.0000
-2.3811 -2.3811 8.9093
K I F Cd
2 2 2 1
direct
0.6028 0.6028 0.2057
0.3972 0.3972 0.7943
0.1616 0.1616 0.3233
0.8384 0.8384 0.6767
0.0000 0.5000 0.0000
0.5000 0.0000 0.0000
0.0000 0.0000 0.0000
```

- Total moment: 0.0000 μB/atom
- SG: I4/mmm
- DFT total energy: -22.60 eV for the cell shown

***

No. 11
Entry from the Alexandria database: crystalline Sr4NdTh3As8 at its relaxed geometry (GGA-PBE).

Cell and atoms, written as POSCAR:
```
Sr4NdTh3As8
1.0
-5.3731 -5.4311 4.2387
6.8344 -3.2685 4.4756
-1.5256 8.6020 0.0836
Th As Sr Nd
3 8 4 1
direct
0.0000 0.5000 0.5000
0.5000 0.5000 0.5000
0.5000 0.5000 0.0000
0.7555 0.2717 0.0162
0.7422 0.7266 0.4844
0.2444 0.7283 0.4889
0.2606 0.2717 0.0162
0.2445 0.7283 0.9838
0.2578 0.2734 0.5156
0.7394 0.7283 0.9838
0.7556 0.2717 0.5111
0.0000 0.0000 0.5000
0.5000 0.0000 0.0000
0.5000 0.0000 0.5000
0.0000 0.0000 0.0000
0.0000 0.5000 0.0000
```

- Total moment: 0.0000 μB/atom
- Formation energy: -1.32 eV per atom
- SG: R-3m

***

No. 12
Entry from the Alexandria database: crystalline ZrNbReTc at its relaxed geometry (GGA-PBE).

Cell and atoms, written as POSCAR:
```
ZrNbReTc
1.0
-1.7918 -2.5603 -0.9097
3.0485 -2.8084 1.8993
-2.3055 0.1958 3.9901
Tc Zr Re Nb
1 1 1 1
direct
0.0000 0.5000 0.5000
0.5000 0.0000 0.5000
0.0000 0.0000 0.0000
0.5000 0.5000 0.0000
```

- Total moment: 0.0000 μB/atom
- Formation energy: -0.30 eV per atom
- SG: Pmmm
- Offset from the most stable computed form: 1.2 kJ/mol of atoms

***

No. 13
Entry from the Alexandria database: crystalline Pr6Ir2Cl3F at its relaxed geometry (GGA-PBE).

Cell and atoms, written as POSCAR:
```
Pr6Ir2Cl3F
1.0
-1.3218 5.2395 4.7798
-4.9799 -4.9617 -1.6209
4.6607 -4.5062 4.5180
Pr Cl Ir F
6 3 2 1
direct
0.4195 0.0709 0.2117
0.2735 0.2735 0.8046
0.0709 0.4195 0.2117
0.5805 0.9291 0.7883
0.7265 0.7265 0.1954
0.9291 0.5805 0.7883
0.1717 0.8283 0.5000
0.8283 0.1717 0.5000
0.5000 0.5000 0.5000
0.6676 0.3324 0.0000
0.3324 0.6676 0.0000
0.0000 0.0000 0.0000
```

- Total moment: 0.0000 μB/atom
- SG: C2/m
- DFT total energy: -70.49 eV for the cell shown